DFT (PBE-GGA) results for Re2PtAu after structural relaxation.

a b c (Å): 3.937 4.045 7.851
angles (deg): 90.00 90.00 90.00
Positions (direct):
Re  0.000  0.000  0.000
Re  0.000  0.500  0.268
Re  0.500  0.000  0.768
Re  0.500  0.500  0.500
Pt  0.000  0.500  0.759
Pt  0.500  0.000  0.259
Au  0.000  0.000  0.512
Au  0.500  0.500  0.012

Summary:
* energy of formation: 264 meV per atom
* ΔE to the lowest computed polymorph: 18.5 kJ/mol of atoms
* space group: Imm2
* mass density: 20.31 Mg/m³